# 1
## LaScTa2 (PBE)

Data for crystalline LaScTa2 at its relaxed geometry.

## Properties
For the energy above the most stable polymorph in this dataset, the calculation gives 295 meV/atom. The calculation puts the density of states at the Fermi level at 5.906 states/eV per cell. For the energy of formation, the calculation gives 0.502 eV/atom. The total magnetization comes out at 0.0 μB per cell.

a b c (Å): 3.501 4.928 5.072
angles (deg): 90.00 90.00 90.00
Space group Pmmm (No. 47)
Unique sites:
La (0.000, 0.000, 0.000) x1
Sc (0.500, 0.500, 0.000) x1
Ta (0.000, 0.500, 0.500) x1
Ta (0.500, 0.000, 0.500) x1

# 2
## Pa3Cd (PBE)

Data for crystalline Pa3Cd at its relaxed geometry.

## Properties
For the energy above the most stable polymorph in this dataset, the calculation gives 126 meV/atom. The calculation puts the density of states at the Fermi level at 9.469 states/eV per cell. For the energy of formation, the calculation gives 0.187 eV/atom. The total magnetization comes out at 0.0 μB per cell.

a b c (Å): 4.624 4.624 4.624
angles (deg): 90.00 90.00 90.00
Space group Pm-3m (No. 221)
Unique sites:
Pa (0.000, 0.000, 0.500) x3
Cd (0.500, 0.500, 0.500) x1